6
Lattice="0.000 3.823 3.823 3.823 0.000 3.823 3.823 3.823 0.000" Properties=species:S:1:pos:R:3 comment="PBE Ag4MoAu, relaxed" dos_at_fermi_per_ev_fu=4.0 spacegroup=F-43m dft_energy_ev_per_cell=-22.14 formation_enthalpy_0k_ev_per_atom=0.563 pbc="T T T"
Ag 0.956 0.956 0.956
Ag 2.867 2.867 0.956
Ag 2.867 0.956 2.867
Ag 0.956 2.867 2.867
Mo 3.823 3.823 3.823
Au 5.735 5.735 5.735